Entry 1:
Material: Pa3Tc4Sn
Method: DFT, PBE-GGA
State: relaxed

Values from the calculation:
**Energy relative to the elements**: 0.023 eV/atom
**Space group**: Immm (71)
**Density**: 11.69 Mg/m³
**Total magnetization**: 0.00 Bohr magnetons per cell

Cell: 7.3310 7.3310 7.3310 Å, 62.59 145.20 129.74°
Element x y z (fractional)
Tc  0.9674  0.7609  0.2065
Tc  0.4456  0.2391  0.2065
Tc  0.2063  0.1921  0.3983
Tc  0.2063  0.8079  0.0142
Sn  0.2065  0.5000  0.7065
Pa  0.7062  0.7128  0.4191
Pa  0.7062  0.2872  0.9934
Pa  0.7065  0.0000  0.7065

=====

Entry 2:
Material: SrAcRhAu
Method: DFT, PBE-GGA
State: relaxed

Values from the calculation:
**Energy relative to the elements**: -0.669 eV/atom
**Space group**: Amm2 (38)
**Relative energy among the computed polymorphs**: 0.000 eV per atom
**Density**: 9.14 Mg/m³
**Total magnetization**: 0.00 Bohr magnetons per cell

Cell: 4.2100 4.4269 6.3519 Å, 90.00 109.35 90.00°
Element x y z (fractional)
Ac  0.8652  0.5000  0.7304
Sr  0.1431  0.0000  0.2862
Rh  0.4135  0.0000  0.8270
Au  0.5782  0.5000  0.1565